Record 1
VASP calculation (PBE) on a geometry-optimized Ho3Mn5Se12 structure.

Unit cell a=13.5932 b=13.5932 c=13.5932 alpha=109.47 beta=109.47 gamma=109.47
Sites, in units of the cell vectors:
Ho: 0.1250 0.2500 0.3750
Ho: 0.1250 0.3750 0.7500
Ho: 0.2500 0.3750 0.1250
Ho: 0.2500 0.8750 0.6250
Ho: 0.3750 0.1250 0.2500
Ho: 0.3750 0.7500 0.1250
Ho: 0.6250 0.2500 0.8750
Ho: 0.6250 0.8750 0.7500
Ho: 0.7500 0.1250 0.3750
Ho: 0.7500 0.6250 0.8750
Ho: 0.8750 0.6250 0.2500
Ho: 0.8750 0.7500 0.6250
Mn: 0.0000 0.0000 0.0000
Mn: 0.0000 0.0000 0.5000
Mn: 0.0000 0.5000 0.0000
Mn: 0.0000 0.5000 0.5000
Mn: 0.1250 0.7500 0.8750
Mn: 0.1250 0.8750 0.2500
Mn: 0.2500 0.1250 0.8750
Mn: 0.2500 0.6250 0.3750
Mn: 0.3750 0.2500 0.6250
Mn: 0.3750 0.6250 0.7500
Mn: 0.5000 0.0000 0.0000
Mn: 0.5000 0.0000 0.5000
Mn: 0.5000 0.5000 0.0000
Mn: 0.5000 0.5000 0.5000
Mn: 0.6250 0.3750 0.2500
Mn: 0.6250 0.7500 0.3750
Mn: 0.7500 0.3750 0.6250
Mn: 0.7500 0.8750 0.1250
Mn: 0.8750 0.1250 0.7500
Mn: 0.8750 0.2500 0.1250
Se: 0.0348 0.2090 0.1243
Se: 0.0348 0.3258 0.9105
Se: 0.0847 0.7090 0.6742
Se: 0.0847 0.8757 0.4105
Se: 0.0895 0.6243 0.4153
Se: 0.0895 0.9652 0.6742
Se: 0.1243 0.0348 0.2090
Se: 0.1243 0.5895 0.9153
Se: 0.1742 0.2090 0.5847
Se: 0.1742 0.4652 0.5895
Se: 0.2090 0.1243 0.0348
Se: 0.2090 0.5847 0.1742
Se: 0.2910 0.3258 0.9153
Se: 0.2910 0.4652 0.3757
Se: 0.3258 0.9105 0.0348
Se: 0.3258 0.9153 0.2910
Se: 0.3757 0.2910 0.4652
Se: 0.3757 0.5847 0.9105
Se: 0.4105 0.0847 0.8757
Se: 0.4105 0.8258 0.5348
Se: 0.4153 0.0895 0.6243
Se: 0.4153 0.8258 0.7910
Se: 0.4652 0.3757 0.2910
Se: 0.4652 0.5895 0.1742
Se: 0.5348 0.4105 0.8258
Se: 0.5348 0.6243 0.7090
Se: 0.5847 0.1742 0.2090
Se: 0.5847 0.9105 0.3757
Se: 0.5895 0.1742 0.4652
Se: 0.5895 0.9153 0.1243
Se: 0.6243 0.4153 0.0895
Se: 0.6243 0.7090 0.5348
Se: 0.6742 0.0847 0.7090
Se: 0.6742 0.0895 0.9652
Se: 0.7090 0.5348 0.6243
Se: 0.7090 0.6742 0.0847
Se: 0.7910 0.4153 0.8258
Se: 0.7910 0.8757 0.9652
Se: 0.8258 0.5348 0.4105
Se: 0.8258 0.7910 0.4153
Se: 0.8757 0.4105 0.0847
Se: 0.8757 0.9652 0.7910
Se: 0.9105 0.0348 0.3258
Se: 0.9105 0.3757 0.5847
Se: 0.9153 0.1243 0.5895
Se: 0.9153 0.2910 0.3258
Se: 0.9652 0.6742 0.0895
Se: 0.9652 0.7910 0.8757

Computed properties:
- density (g cm⁻³) = 5.9
- crystal system = cubic
- energy (eV per atom) = -5.960
- SG = Ia-3d (230)
- formation energy from raw total energies (kJ/mol of formula units) = -1718

Record 2
VASP calculation (PBE) on a geometry-optimized Cd2NiBr structure.

Unit cell a=3.9950 b=3.3937 c=6.7268 alpha=90.00 beta=107.27 gamma=90.00
Sites, in units of the cell vectors:
Cd: 0.0000 0.0000 0.0000
Cd: 0.3516 0.5000 0.7049
Ni: 0.7991 0.0000 0.6011
Br: 0.6502 0.5000 0.3002

Computed properties:
- density (g cm⁻³) = 6.9
- crystal system = monoclinic
- energy (eV per atom) = -2.308
- SG = Pm (6)
- formation energy from raw total energies (kJ/mol of formula units) = 5
- energy above the most stable polymorph in this dataset (eV per atom) = 0.037

Record 3
VASP calculation (PBE) on a geometry-optimized LaSm6Te8 structure.

Unit cell a=8.3359 b=8.3359 c=8.3359 alpha=69.36 beta=69.36 gamma=69.36
Sites, in units of the cell vectors:
La: 0.0000 0.0000 0.0000
Sm: 0.0794 0.4544 0.6938
Sm: 0.3062 0.9206 0.5456
Sm: 0.4544 0.6938 0.0794
Sm: 0.5456 0.3062 0.9206
Sm: 0.6938 0.0794 0.4544
Sm: 0.9206 0.5456 0.3062
Te: 0.0980 0.8061 0.3719
Te: 0.1939 0.6281 0.9020
Te: 0.3264 0.3264 0.3264
Te: 0.3719 0.0980 0.8061
Te: 0.6281 0.9020 0.1939
Te: 0.6736 0.6736 0.6736
Te: 0.8061 0.3719 0.0980
Te: 0.9020 0.1939 0.6281

Computed properties:
- density (g cm⁻³) = 7.0
- crystal system = trigonal
- energy (eV per atom) = -5.218
- SG = R-3 (148)
- formation energy from raw total energies (kJ/mol of formula units) = -1919
- energy above the most stable polymorph in this dataset (eV per atom) = 0.124

Record 4
VASP calculation (PBE) on a geometry-optimized CePmPtI structure.

Unit cell a=8.4619 b=8.4619 c=8.4619 alpha=28.97 beta=28.97 gamma=28.97
Sites, in units of the cell vectors:
Ce: 0.0000 0.0000 0.0000
Pm: 0.7916 0.7916 0.7916
Pt: 0.3945 0.3945 0.3945
I: 0.5642 0.5642 0.5642

Computed properties:
- density (g cm⁻³) = 8.0
- crystal system = trigonal
- energy (eV per atom) = -5.611
- SG = R3m (160)
- formation energy from raw total energies (kJ/mol of formula units) = -402

Record 5
VASP calculation (PBE) on a geometry-optimized BaIn2Hg4Pb structure.

Unit cell a=9.5043 b=9.5043 c=9.5043 alpha=33.58 beta=33.58 gamma=33.58
Sites, in units of the cell vectors:
Ba: 0.0000 0.0000 0.0000
In: 0.2453 0.2453 0.2453
In: 0.7547 0.7547 0.7547
Hg: 0.1294 0.1294 0.1294
Hg: 0.3840 0.3840 0.3840
Hg: 0.6160 0.6160 0.6160
Hg: 0.8706 0.8706 0.8706
Pb: 0.5000 0.5000 0.5000

Computed properties:
- density (g cm⁻³) = 9.8
- crystal system = trigonal
- energy (eV per atom) = -1.727
- SG = R-3m (166)

Record 6
VASP calculation (PBE) on a geometry-optimized LaHf3Bi structure.

Unit cell a=5.2248 b=5.2248 c=5.2248 alpha=90.00 beta=90.00 gamma=90.00
Sites, in units of the cell vectors:
La: 0.0000 0.0000 0.0000
Hf: 0.0000 0.0000 0.5000
Hf: 0.0000 0.5000 0.0000
Hf: 0.5000 0.0000 0.0000
Bi: 0.5000 0.5000 0.5000

Computed properties:
- density (g cm⁻³) = 10.3
- crystal system = cubic
- energy (eV per atom) = -6.338
- SG = Pm-3m (221)
- energy above the most stable polymorph in this dataset (eV per atom) = 0.457

Record 7
VASP calculation (PBE) on a geometry-optimized Er7ZnRu4 structure.

Unit cell a=7.3450 b=7.3450 c=9.6534 alpha=124.28 beta=124.28 gamma=41.81
Sites, in units of the cell vectors:
Er: 0.0000 0.0000 0.0000
Er: 0.1737 0.1737 0.6228
Er: 0.2842 0.2842 0.1267
Er: 0.4260 0.4260 0.6464
Er: 0.5740 0.5740 0.3536
Er: 0.7158 0.7158 0.8733
Er: 0.8263 0.8263 0.3772
Zn: 0.5000 0.5000 0.0000
Ru: 0.0661 0.0661 0.7790
Ru: 0.2022 0.2022 0.3518
Ru: 0.7978 0.7978 0.6482
Ru: 0.9339 0.9339 0.2210

Computed properties:
- density (g cm⁻³) = 9.8
- crystal system = monoclinic
- energy (eV per atom) = -6.019
- SG = C2/m (12)

Record 8
VASP calculation (PBE) on a geometry-optimized Ta2MnW structure.

Unit cell a=2.8253 b=4.4190 c=5.1913 alpha=90.00 beta=100.60 gamma=90.00
Sites, in units of the cell vectors:
Ta: 0.0000 0.0000 0.0000
Ta: 0.2725 0.5000 0.7362
Mn: 0.5089 0.0000 0.4957
W: 0.7488 0.5000 0.2480

Computed properties:
- density (g cm⁻³) = 15.7
- crystal system = monoclinic
- energy (eV per atom) = -11.425
- SG = Pm (6)

Question: Among the records above, which one has the lowest energy?
Answer: Ta2MnW

Question: density of number 4 (CePmPtI)?
Answer: 8.0 g cm⁻³